# 1
Below is crystalline Cd2SiRh at its relaxed geometry, with properties calculated at the PBE-GGA level.

Calculated values
* total magnetization: 0.0 μB per cell
* E_form (uncorrected): -0.2426 eV per atom
* space group: No. 12

Lattice parameters (Å, degrees): 14.496 2.847 3.871 90.00 105.26 90.00
Fractional positions:
Cd1 0.182 0.000 0.183
Cd2 0.318 0.500 0.817
Cd3 0.682 0.500 0.183
Cd4 0.818 0.000 0.817
Si1 0.000 0.000 0.500
Si2 0.500 0.500 0.500
Rh1 0.000 0.500 0.000
Rh2 0.500 0.000 0.000

***

# 2
Below is crystalline Pm2Ag3GeSe6 at its relaxed geometry, with properties calculated at the PBE-GGA level.

Calculated values
* total magnetization: 0.0 μB per cell
* E_form (uncorrected): -0.7910 eV per atom
* space group: No. 12

Lattice parameters (Å, degrees): 8.929 8.929 8.062 98.84 98.84 27.08
Fractional positions:
Pm1 0.166 0.166 0.317
Pm2 0.834 0.834 0.683
Ag1 0.176 0.176 0.819
Ag2 0.500 0.500 0.500
Ag3 0.824 0.824 0.181
Ge1 0.500 0.500 0.000
Se1 0.005 0.005 0.766
Se2 0.338 0.338 0.425
Se3 0.338 0.338 0.936
Se4 0.662 0.662 0.064
Se5 0.662 0.662 0.575
Se6 0.995 0.995 0.234

***

# 3
Below is crystalline PrSm6Ni3 at its relaxed geometry, with properties calculated at the PBE-GGA level.

Calculated values
* total magnetization: 0.0 μB per cell
* ΔH_f (0 K): -0.17 eV per atom
* space group: No. 36

Lattice parameters (Å, degrees): 8.712 8.712 7.148 90.00 90.00 98.64
Fractional positions:
Pr1 0.178 0.822 0.500
Pr2 0.822 0.178 0.000
Sm1 0.083 0.466 0.274
Sm2 0.129 0.208 0.626
Sm3 0.208 0.129 0.126
Sm4 0.272 0.728 0.964
Sm5 0.466 0.083 0.774
Sm6 0.468 0.532 0.619
Sm7 0.532 0.468 0.119
Sm8 0.534 0.917 0.274
Sm9 0.728 0.272 0.464
Sm10 0.792 0.871 0.626
Sm11 0.871 0.792 0.126
Sm12 0.917 0.534 0.774
Ni1 0.077 0.923 0.834
Ni2 0.208 0.412 0.911
Ni3 0.412 0.208 0.411
Ni4 0.588 0.792 0.911
Ni5 0.792 0.588 0.411
Ni6 0.923 0.077 0.334